1.
VASP calculation (PBE-GGA) on Ce4PIrBr2 after structural relaxation.

## Properties
total magnetic moment	3.659	μB per formula unit
ΔE_f (raw)	-1.188	eV/atom
symmetry	P2/m
density of states at the Fermi level	22.8	states/eV per cell

```
Ce4PIrBr2
1.0
4.057 0.000 0.000
0.000 7.332 0.206
0.000 -2.492 7.124
Ce P Ir Br
4 1 1 2
direct
0.500 0.237 0.214
0.500 0.763 0.786
0.000 0.269 0.794
0.000 0.731 0.206
0.000 0.000 0.000
0.500 0.500 0.000
0.500 0.000 0.500
0.000 0.500 0.500
```

2.
VASP calculation (PBE-GGA) on Ce6PIr2Br3 after structural relaxation.

## Properties
total magnetic moment	5.971	μB per formula unit
ΔE_f (raw)	-1.132	eV/atom
symmetry	C2/m
density of states at the Fermi level	34.3	states/eV per cell

```
Ce6PIr2Br3
1.0
-5.055 -3.633 -3.574
6.638 -2.681 0.532
-2.431 -1.378 7.243
Ce P Ir Br
6 1 2 3
direct
0.932 0.593 0.796
0.729 0.729 0.203
0.068 0.407 0.204
0.593 0.932 0.796
0.271 0.271 0.797
0.407 0.068 0.204
0.000 0.000 0.000
0.333 0.667 0.000
0.667 0.333 0.000
0.163 0.837 0.500
0.837 0.163 0.500
0.500 0.500 0.500
```

3.
VASP calculation (PBE-GGA) on Ce6P2IrBr3 after structural relaxation.

## Properties
total magnetic moment	6.004	μB per formula unit
ΔE_f (raw)	-1.264	eV/atom
symmetry	C2/m
density of states at the Fermi level	33.2	states/eV per cell

```
Ce6P2IrBr3
1.0
-1.640 0.009 -3.728
-5.166 -6.647 2.256
-3.946 7.726 3.981
Ce P Ir Br
6 2 1 3
direct
0.340 0.893 0.680
0.675 0.566 0.350
0.660 0.107 0.320
0.009 0.223 0.018
0.991 0.777 0.982
0.325 0.434 0.650
0.833 0.663 0.665
0.167 0.337 0.335
0.500 0.000 0.000
0.500 0.500 0.000
0.833 0.167 0.666
0.167 0.833 0.334
```

4.
VASP calculation (PBE-GGA) on Ce8Ir3PdBr4 after structural relaxation.

## Properties
total magnetic moment	8.052	μB per formula unit
ΔE_f (raw)	-1.010	eV/atom
symmetry	R-3m
density of states at the Fermi level	50.5	states/eV per cell

```
Ce8Ir3PdBr4
1.0
8.254 0.000 0.000
0.000 8.993 0.515
-4.127 -4.124 5.840
Ce Ir Pd Br
8 3 1 4
direct
0.239 0.701 0.963
0.238 0.701 0.477
0.267 0.301 0.534
0.724 0.701 0.963
0.276 0.299 0.037
0.733 0.699 0.466
0.762 0.299 0.523
0.761 0.299 0.037
0.500 0.500 0.000
0.500 0.500 0.500
0.000 0.500 0.500
0.000 0.500 0.000
0.500 0.000 0.000
0.500 0.000 0.500
0.000 0.000 0.000
0.000 0.000 0.500
```

5.
VASP calculation (PBE-GGA) on CePmIrBr after structural relaxation.

## Properties
total magnetic moment	0.756	μB per formula unit
ΔE_f (raw)	-1.062	eV/atom
symmetry	R3m
density of states at the Fermi level	7.0	states/eV per cell

```
CePmIrBr
1.0
-0.309 -2.221 -3.433
2.045 -1.488 3.228
-7.105 -1.274 3.912
Ce Pm Ir Br
1 1 1 1
direct
0.097 0.946 0.059
0.506 0.151 0.672
0.309 0.552 0.876
0.966 0.381 0.362
```

6.
VASP calculation (PBE-GGA) on CePrIrBr after structural relaxation.

## Properties
total magnetic moment	0.755	μB per formula unit
ΔE_f (raw)	-1.054	eV/atom
symmetry	R3m
density of states at the Fermi level	7.2	states/eV per cell

```
CePrIrBr
1.0
4.123 -0.001 0.000
-2.061 3.570 0.000
-2.061 -1.190 7.917
Ce Pr Ir Br
1 1 1 1
direct
0.097 0.946 0.059
0.505 0.150 0.671
0.311 0.553 0.880
0.965 0.381 0.360
```

7.
VASP calculation (PBE-GGA) on CePuIrBr after structural relaxation.

## Properties
total magnetic moment	0.006	μB per formula unit
ΔE_f (raw)	-0.324	eV/atom
symmetry	Cm
density of states at the Fermi level	14.4	states/eV per cell

```
CePuIrBr
1.0
3.965 -0.001 0.000
-1.982 3.453 0.005
-1.982 -1.137 7.755
Ce Pu Ir Br
1 1 1 1
direct
0.502 0.148 0.667
0.101 0.949 0.065
0.308 0.551 0.876
0.966 0.383 0.362
```

8.
VASP calculation (PBE-GGA) on Ce8IrRh3Br4 after structural relaxation.

## Properties
total magnetic moment	7.823	μB per formula unit
ΔE_f (raw)	-0.997	eV/atom
symmetry	R-3m
density of states at the Fermi level	49.3	states/eV per cell

```
Ce8IrRh3Br4
1.0
8.158 0.000 0.000
0.000 8.998 0.584
-4.079 -4.077 5.772
Ce Ir Rh Br
8 1 3 4
direct
0.233 0.700 0.967
0.233 0.700 0.466
0.266 0.299 0.533
0.734 0.700 0.967
0.266 0.300 0.033
0.734 0.701 0.467
0.767 0.300 0.534
0.767 0.300 0.033
0.000 0.500 0.000
0.500 0.500 0.000
0.500 0.500 0.500
0.000 0.500 0.500
0.500 0.000 0.000
0.500 0.000 0.500
0.000 0.000 0.000
0.000 0.000 0.500
```